[1]
Cs2AlTlB: relaxed, PBE-GGA.

Values from the calculation:
**Energy relative to the elements**: 5.98 eV/f.u.
**Magnetic moment**: 1.23 μB/cell

Cell and atoms, written as CIF:
```
data_Cs2AlTlB
_chemical_formula_sum 'Cs2 Al1 Tl1 B1'
_cell_length_a 7.393
_cell_length_b 7.393
_cell_length_c 5.140
_cell_angle_alpha 90.00
_cell_angle_beta 90.00
_cell_angle_gamma 90.00
_space_group_name_H-M_alt 'P 4/m m m'
_space_group_IT_number 123
_space_group_name_Hall '-P 4 2'
loop_
_atom_site_label
_atom_site_type_symbol
_atom_site_fract_x
_atom_site_fract_y
_atom_site_fract_z
Cs1 Cs 0.000 0.500 0.000
Al1 Al 0.000 0.000 0.000
Tl1 Tl 0.000 0.000 0.500
B1 B 0.500 0.500 0.500
```

[2]
Pr4PCl5: relaxed, PBE-GGA.

Values from the calculation:
**Raw formation energy**: -44.01 kcal/mol of atoms
**Magnetic moment**: 0.00 μB/cell

Cell and atoms, written as CIF:
```
data_Pr4PCl5
_chemical_formula_sum 'Pr8 P2 Cl10'
_cell_length_a 18.206
_cell_length_b 4.103
_cell_length_c 8.341
_cell_angle_alpha 90.00
_cell_angle_beta 104.75
_cell_angle_gamma 90.00
_space_group_name_H-M_alt 'C 1 2/m 1'
_space_group_IT_number 12
loop_
_space_group_symop_operation_xyz
'x,y,z'
'-x,-y,-z'
'-x,y,-z'
'x,-y,z'
'x+1/2,y+1/2,z'
'-x+1/2,-y+1/2,-z'
'-x+1/2,y+1/2,-z'
'x+1/2,-y+1/2,z'
loop_
_atom_site_label
_atom_site_type_symbol
_atom_site_fract_x
_atom_site_fract_y
_atom_site_fract_z
Pr1 Pr 0.000 0.000 0.228
Pr2 Pr 0.155 0.500 0.093
P1 P 0.000 0.500 0.000
Cl1 Cl 0.000 0.500 0.500
Cl2 Cl 0.166 0.000 0.338
Cl3 Cl 0.171 0.000 0.852
```

[3]
Tl8PtAu2: relaxed, PBE-GGA.

Values from the calculation:
**Energy relative to the elements**: -0.26 eV/f.u.
**Magnetic moment**: 0.00 μB/cell

Cell and atoms, written as CIF:
```
data_Tl8PtAu2
_chemical_formula_sum 'Tl16 Pt2 Au4'
_cell_length_a 17.295
_cell_length_b 4.201
_cell_length_c 8.544
_cell_angle_alpha 90.00
_cell_angle_beta 99.38
_cell_angle_gamma 90.00
_space_group_name_H-M_alt 'C 1 2/m 1'
_space_group_IT_number 12
loop_
_space_group_symop_operation_xyz
'x,y,z'
'-x,-y,-z'
'-x,y,-z'
'x,-y,z'
'x+1/2,y+1/2,z'
'-x+1/2,-y+1/2,-z'
'-x+1/2,y+1/2,-z'
'x+1/2,-y+1/2,z'
loop_
_atom_site_label
_atom_site_type_symbol
_atom_site_fract_x
_atom_site_fract_y
_atom_site_fract_z
Tl1 Tl 0.004 0.000 0.280
Tl2 Tl 0.096 0.500 0.041
Tl3 Tl 0.161 0.500 0.496
Tl4 Tl 0.197 0.000 0.834
Pt1 Pt 0.000 0.500 0.500
Au1 Au 0.190 0.000 0.255
```